Below is crystalline MgUTc at its relaxed geometry, with properties calculated at the PBE level.

It has space group I4mm (No. 107), with a = 3.2021 Å, b = 3.2021 Å, c = 12.0109 Å, α = 90.00°, β = 90.00° and γ = 90.00°. The inequivalent atoms are Mg at (0.0000, 0.0000, 0.0000), U at (0.0000, 0.0000, 0.2770) and Tc at (0.0000, 0.0000, 0.6493).

The energy of formation is 0.14 eV/atom. The calculated volume comes out at 123 Å³ per cell. The value obtained for the electronic total energy is -45.646 eV/cell. Its magnetic moment is 1.508 μB per formula unit.


Below is crystalline KBeAsAu at its relaxed geometry, with properties calculated at the PBE level.

It has space group P4/nmm (No. 129, origin choice 2), with a = 3.8142 Å, b = 3.8142 Å, c = 12.6548 Å, α = 90.00°, β = 90.00° and γ = 90.00°. The inequivalent atoms are K at (0.2500, 0.2500, 0.2394), Be at (0.2500, 0.7500, 0.5000), As at (0.2500, 0.2500, 0.6087) and Au at (0.2500, 0.7500, 0.0000).

The energy of formation is -0.31 eV/atom. The calculated volume comes out at 184 Å³ per cell. The value obtained for the electronic total energy is -27.952 eV/cell. Its magnetic moment is 0.000 μB per formula unit.


Below is crystalline LaAs2P2 at its relaxed geometry, with properties calculated at the PBE level.

It has space group I4/mmm (No. 139), with a = 4.0664 Å, b = 4.0664 Å, c = 12.8779 Å, α = 90.00°, β = 90.00° and γ = 90.00°. The inequivalent atoms are La at (0.0000, 0.0000, 0.0000), As at (0.0000, 0.5000, 0.2500) and P at (0.0000, 0.0000, 0.4148).

The energy of formation is -0.31 eV/atom. The calculated volume comes out at 213 Å³ per cell. The value obtained for the electronic total energy is -53.208 eV/cell. Its magnetic moment is 0.000 μB per formula unit.


Below is crystalline ReB4Mo2 at its relaxed geometry, with properties calculated at the PBE level.

It has space group I4/mmm (No. 139), with a = 3.9891 Å, b = 3.9891 Å, c = 11.0653 Å, α = 90.00°, β = 90.00° and γ = 90.00°. The inequivalent atoms are Re at (0.0000, 0.0000, 0.0000), B at (0.0000, 0.0000, 0.1925), B at (0.0000, 0.5000, 0.0000) and Mo at (0.0000, 0.0000, 0.3756).

The energy of formation is 0.78 eV/atom. The calculated volume comes out at 176 Å³ per cell. The value obtained for the electronic total energy is -110.686 eV/cell. Its magnetic moment is 0.000 μB per formula unit.


Below is crystalline V2SbAu at its relaxed geometry, with properties calculated at the PBE level.

It has space group I-42d (No. 122), with a = 3.8945 Å, b = 3.8945 Å, c = 19.4323 Å, α = 90.00°, β = 90.00° and γ = 90.00°. The inequivalent atoms are V at (0.2307, 0.2500, 0.1250), Sb at (0.0000, 0.0000, 0.0000) and Au at (0.0000, 0.0000, 0.5000).

The calculated volume comes out at 295 Å³ per cell. The uncorrected formation energy comes out at 472 meV/atom. The value obtained for the electronic total energy is -94.990 eV/cell. Its magnetic moment is 0.000 μB per formula unit.


Below is crystalline Ac6Pt2Se3Cl at its relaxed geometry, with properties calculated at the PBE level.

It has space group C2/m (No. 12), with a = 19.8488 Å, b = 4.3367 Å, c = 9.2075 Å, α = 90.00°, β = 105.06° and γ = 90.00°. The inequivalent atoms are Ac at (0.0058, 0.0000, 0.2612), Ac at (0.1715, 0.5000, 0.5654), Ac at (0.1721, 0.5000, 0.1017), Pt at (0.1654, 0.0000, 0.3272), Se at (0.0000, 0.5000, 0.5000), Se at (0.1593, 0.0000, 0.8331) and Cl at (0.0000, 0.5000, 0.0000).

The calculated volume comes out at 765 Å³ per cell. The uncorrected formation energy comes out at -1560 meV/atom. The value obtained for the electronic total energy is -135.497 eV/cell. Its magnetic moment is 0.000 μB per formula unit.


Below is crystalline CaCuTe2 at its relaxed geometry, with properties calculated at the PBE level.

It has space group Immm (No. 71), with a = 4.0923 Å, b = 5.9822 Å, c = 8.6468 Å, α = 90.00°, β = 90.00° and γ = 90.00°. The inequivalent atoms are Ca at (0.0000, 0.0000, 0.0000), Cu at (0.0000, 0.0000, 0.5000) and Te at (0.0000, 0.5000, 0.1989).

The calculated volume comes out at 212 Å³ per cell. The uncorrected formation energy comes out at -547 meV/atom. The value obtained for the electronic total energy is -29.135 eV/cell. Its magnetic moment is 0.000 μB per formula unit.


Below is crystalline PmYSc6 at its relaxed geometry, with properties calculated at the PBE level.

It has space group P-6m2 (No. 187), with a = 6.8136 Å, b = 6.8136 Å, c = 5.3263 Å, α = 90.00°, β = 90.00° and γ = 120.00°. The inequivalent atoms are Pm at (0.0000, 0.0000, 0.0000), Y at (0.6667, 0.3333, 0.5000), Sc at (0.0093, 0.5046, 0.0000) and Sc at (0.1715, 0.3431, 0.5000).

The energy of formation is 0.03 eV/atom. The calculated volume comes out at 214 Å³ per cell. The value obtained for the electronic total energy is -48.987 eV/cell. Its magnetic moment is 2.098 μB per formula unit.


- Which of these has the highest magnetic moment?
  PmYSc6